1.
SrLiTmPt: optimized geometry, PBE.

Energy of formation from the pure elements ... -0.459 eV/atom
Fermi-level density of states ... 0.851 states/eV per atom

a b c (Å): 7.215 7.215 7.215
angles (deg): 90.00 90.00 90.00
Space group F-43m (No. 216)
Unique sites:
Sr1 0.000 0.000 0.000
Li1 0.250 0.250 0.750
Tm1 0.000 0.000 0.500
Pt1 0.250 0.250 0.250

=====

2.
SrLiPt2W: optimized geometry, PBE.

Energy of formation from the pure elements ... 0.644 eV/atom
Fermi-level density of states ... 0.771 states/eV per atom

a b c (Å): 4.913 4.913 5.595
angles (deg): 90.00 90.00 90.00
Space group P4/mmm (No. 123)
Unique sites:
Sr1 0.000 0.000 0.000
Li1 0.500 0.500 0.000
Pt1 0.000 0.500 0.500
W1 0.000 0.000 0.500

=====

3.
SrLiZn2Pt2: optimized geometry, PBE.

Energy of formation from the pure elements ... -0.637 eV/atom
Fermi-level density of states ... 0.455 states/eV per atom

a b c (Å): 4.3595 4.3595 7.2068
angles (deg): 90.00 90.00 120.00
Space group P-3m1 (No. 164)
Unique sites:
Sr1 0.0000 0.0000 0.0000
Li1 0.0000 0.0000 0.5000
Zn1 0.3333 0.6667 0.3366
Pt1 0.3333 0.6667 0.7059